An optimized crystal structure of TlSiP2. Source: Alexandria, functional GGA-PBE.

Total DFT energy (no corrections)   -3.91 eV/atom
Spin magnetization   0.00 μB/atom
Symmetry   I-4m2, No. 119
Uncorrected formation energy   0.739 eV/atom
Polymorph energy (0 for the lowest one)   655 meV per atom

abc: 6.2151 6.2151 6.2151
angles: 144.84 144.84 50.58
Closest atoms and distances in Å follow each position.
Sites, in units of the cell vectors:
Tl1 0.7500 0.2500 0.5000  4 P 2.65
P1 0.0000 0.0000 0.0000  4 Si 2.65
P2 0.2500 0.7500 0.5000  4 Tl 2.65
Si1 0.5000 0.5000 0.0000  4 P 2.65